No. 1
Below is Ta2InP after structural relaxation, with properties calculated at the GGA-PBE level.

space group = I-42d (122)
E above lowest polymorph = 701.4 meV/atom
crystal system = tetragonal
energy of formation from the pure elements = 409.9 meV/atom
DOS at the Fermi energy = 5.908 states/eV per cell
total DFT energy (no corrections) = -60.43 eV/cell

Cell lengths 3.9785, 3.9785, 10.1564 Å; angles 78.70, 78.70, 90.00 degrees
Closest atoms and distances in Å follow each position.
Sites, in units of the cell vectors:
P 0.5000 0.5000 0.0000  4 Ta 2.81, 4 In 2.81
In 0.0000 0.0000 0.0000  4 P 2.81, 4 Ta 2.82
P 0.2500 0.7500 0.5000  4 Ta 2.81, 4 In 2.81
Ta 0.8750 0.8700 0.7500  4 Ta 2.79-2.84, 2 P 2.81, 2 In 2.82
Ta 0.1300 0.6250 0.2500  4 Ta 2.79-2.84, 2 P 2.81, 2 In 2.82
Ta 0.6200 0.1250 0.2500  4 Ta 2.79-2.84, 2 P 2.81, 2 In 2.82
Ta 0.3750 0.3800 0.7500  4 Ta 2.79-2.84, 2 P 2.81, 2 In 2.82
In 0.7500 0.2500 0.5000  4 P 2.81, 4 Ta 2.82

***

No. 2
Below is Mn3CuOs after structural relaxation, with properties calculated at the GGA-PBE level.

space group = Pm-3m (221)
E above lowest polymorph = 0.0 meV/atom
crystal system = cubic
energy of formation from the pure elements = 1377.0 meV/atom
DOS at the Fermi energy = 6.464 states/eV per cell
total DFT energy (no corrections) = -35.95 eV/cell

Cell lengths 4.6864, 4.6864, 4.6864 Å; angles 90.00, 90.00, 90.00 degrees
Closest atoms and distances in Å follow each position.
Sites, in units of the cell vectors:
Cu 0.5000 0.5000 0.5000  12 Mn 3.31
Mn 0.0000 0.5000 0.0000  2 Os 2.34
Mn 0.5000 0.0000 0.0000  2 Os 2.34
Os 0.0000 0.0000 0.0000  6 Mn 2.34
Mn 0.0000 0.0000 0.5000  2 Os 2.34

***

No. 3
Below is In2CuIr after structural relaxation, with properties calculated at the GGA-PBE level.

space group = P4mm (99)
crystal system = tetragonal
energy of formation from the pure elements = 122.6 meV/atom
DOS at the Fermi energy = 1.326 states/eV per cell
total DFT energy (no corrections) = -17.94 eV/cell

Cell lengths 3.2014, 3.2014, 7.2331 Å; angles 90.00, 90.00, 90.00 degrees
Closest atoms and distances in Å follow each position.
Sites, in units of the cell vectors:
In 0.5000 0.5000 0.3034  4 Ir 2.80, 1 Cu 3.01
Ir 0.0000 0.0000 0.5304  4 Cu 2.64, 4 In 2.80
Cu 0.5000 0.5000 0.7190  4 Ir 2.64, 4 In 2.80
In 0.0000 0.0000 0.9472  4 Cu 2.80, 1 Ir 3.01

***

No. 4
Below is SrTcOs after structural relaxation, with properties calculated at the GGA-PBE level.

space group = Pm (6)
E above lowest polymorph = 49.7 meV/atom
crystal system = monoclinic
energy of formation from the pure elements = 299.9 meV/atom
DOS at the Fermi energy = 5.149 states/eV per cell
total DFT energy (no corrections) = -44.76 eV/cell

Cell lengths 4.5102, 4.3763, 7.4799 Å; angles 90.00, 92.58, 90.00 degrees
Closest atoms and distances in Å follow each position.
Sites, in units of the cell vectors:
Sr 0.5360 0.5000 0.2977  3 Tc 3.20-3.32, 2 Os 3.37
Tc 0.0952 0.0000 0.4884  2 Os 2.40-2.65, 2 Tc 2.51
Tc 0.9904 0.5000 0.6383  2 Os 2.39-2.63, 2 Tc 2.51
Os 0.4711 0.5000 0.7857  2 Tc 2.39-2.63, 2 Os 2.50
Os 0.5758 0.0000 0.6402  2 Tc 2.40-2.65, 2 Os 2.50
Sr 0.0298 0.0000 0.9719  3 Os 3.15-3.31, 2 Tc 3.32

***

No. 5
Below is Li3VSi after structural relaxation, with properties calculated at the GGA-PBE level.

space group = Pm-3m (221)
E above lowest polymorph = 0.0 meV/atom
crystal system = cubic
raw formation energy = 61.7 kJ/mol of atoms
DOS at the Fermi energy = 5.119 states/eV per cell
total DFT energy (no corrections) = -17.09 eV/cell

Cell lengths 4.6252, 4.6252, 4.6252 Å; angles 90.00, 90.00, 90.00 degrees
Closest atoms and distances in Å follow each position.
Sites, in units of the cell vectors:
Li 0.5000 0.0000 0.0000  2 Si 2.31
Si 0.0000 0.0000 0.0000  6 Li 2.31
Li 0.0000 0.0000 0.5000  2 Si 2.31
Li 0.0000 0.5000 0.0000  2 Si 2.31
V 0.5000 0.5000 0.5000  12 Li 3.27

***

No. 6
Below is LiMnIn2 after structural relaxation, with properties calculated at the GGA-PBE level.

space group = Imm2 (44)
crystal system = orthorhombic
energy of formation from the pure elements = 72.8 meV/atom
DOS at the Fermi energy = 2.773 states/eV per cell
total DFT energy (no corrections) = -16.27 eV/cell

Cell lengths 5.7999, 5.7999, 5.7999 Å; angles 147.22, 132.95, 58.53 degrees
Closest atoms and distances in Å follow each position.
Sites, in units of the cell vectors:
Mn 0.2503 0.7503 0.5000  6 In 2.84-2.88, 2 Li 2.88
Li 0.4839 0.4839 0.0000  6 In 2.85-3.15, 2 Mn 2.88
In 0.7495 0.2495 0.5000  4 Mn 2.84, 2 Li 3.15, 2 In 3.16
In 0.0163 0.0163 0.0000  4 Li 2.85, 2 Mn 2.88, 2 In 3.16

***

The highest DOS at the Fermi energy belongs to which entry? Mn3CuOs